Compound: Na4CoAuO5
Source: the Open Quantum Materials Database
Functional: GGA+U
Structure: relaxed

a b c (Å): 5.5256 10.4314 5.5232
angles (deg): 90.00 117.07 90.00
Fractional positions:
1 Au 0.0000 0.0000 0.0000
2 Au 0.0000 0.5000 0.0000
3 Co 0.2726 0.7500 0.2728
4 Co 0.7275 0.2500 0.7272
5 Na 0.6424 0.7500 0.0127
6 Na 0.6676 0.0003 0.3324
7 Na 0.6676 0.4997 0.3324
8 Na 0.9885 0.2500 0.3577
9 Na 0.0115 0.7500 0.6423
10 Na 0.3324 0.5003 0.6676
11 Na 0.3324 0.9997 0.6676
12 Na 0.3576 0.2500 0.9873
13 O 0.2979 0.6175 0.0147
14 O 0.2979 0.8825 0.0147
15 O 0.0143 0.6176 0.2977
16 O 0.0143 0.8824 0.2977
17 O 0.4230 0.2500 0.4228
18 O 0.5770 0.7500 0.5772
19 O 0.9857 0.1176 0.7023
20 O 0.9857 0.3824 0.7023
21 O 0.7021 0.1175 0.9853
22 O 0.7021 0.3825 0.9853

Results
- energy (eV/atom) = -4.4811
- density (g/cm3) = 5.01